A relaxed SrScAg2 crystal. Source: the Alexandria database, functional GGA-PBEsol.

For the energy above the most stable polymorph in this dataset, the calculation gives 0.131 eV per atom. The calculation puts the density of states at the Fermi level at 3.548 states/eV/f.u. As for the energy of formation from the pure elements: -2.24 kcal/mol of atoms. For the total energy, the calculation gives -15.5 eV/f.u. The value obtained for the theoretical density is 6.2 Mg/m³. The crystal system is cubic.

The space group is Fm-3m (No. 225) and the conventional cell measures 7.197, 7.197 and 7.197 Å, with angles of 90.00, 90.00 and 90.00 degrees. Symmetry generates all atoms from Sr at (0.000, 0.000, 0.000), Sc at (0.000, 0.000, 0.500) and Ag at (0.250, 0.250, 0.250).